Computed, not measured: a relaxed structure of AcGa3Co at the PBE level of DFT. Values from VASP.

The structure in Quantum ESPRESSO input format:
```
&SYSTEM
  ibrav = 0, nat = 5, ntyp = 3
/
ATOMIC_SPECIES
Ac 227.00 Ac.upf
Co 58.93 Co.upf
Ga 69.72 Ga.upf
CELL_PARAMETERS angstrom
4.6870 0.0000 0.0000
0.0000 4.6870 0.0000
0.0000 0.0000 4.6870
ATOMIC_POSITIONS crystal
Ac 0.5000 0.5000 0.5000
Co 0.0000 0.0000 0.0000
Ga 0.0000 0.5000 0.0000
Ga 0.0000 0.0000 0.5000
Ga 0.5000 0.0000 0.0000
```

Results
- energy relative to the lowest polymorph listed for this composition (kcal/mol of atoms) = 0.55
- electronic total energy (eV/atom) = -4.460
- ρ (Mg/m³) = 7.985
- total moment (μB/f.u.) = 0.00
- DFT formation energy (meV/atom) = -401